Record 1
Crystalline CuAgHgB at its relaxed geometry, computed with PBE.

Cell lengths 4.4339, 4.4339, 4.4339 Å; angles 60.00, 60.00, 60.00 degrees
Last column: nearest neighbours and their distance in Å.
Element x y z (fractional)
1 Cu 0.0000 0.0000 0.0000  4 B 2.72, 4 Ag 2.72
2 Ag 0.2500 0.2500 0.2500  4 Hg 2.72, 4 Cu 2.72
3 Hg 0.5000 0.5000 0.5000  4 B 2.72, 4 Ag 2.72
4 B 0.7500 0.7500 0.7500  4 Hg 2.72, 4 Cu 2.72

ΔE to the lowest computed polymorph: 0.000 eV/atom



Record 2
Crystalline LuCuAgB at its relaxed geometry, computed with PBE.

Cell lengths 4.4277, 4.4277, 4.4277 Å; angles 60.00, 60.00, 60.00 degrees
Last column: nearest neighbours and their distance in Å.
Element x y z (fractional)
1 Lu 0.0000 0.0000 0.0000  4 Cu 2.71, 4 Ag 2.71
2 Cu 0.7500 0.7500 0.7500  4 B 2.71, 4 Lu 2.71
3 Ag 0.2500 0.2500 0.2500  4 B 2.71, 4 Lu 2.71
4 B 0.5000 0.5000 0.5000  4 Cu 2.71, 4 Ag 2.71

Magnetic moment: 0.00 μB per formula unit
ΔE to the lowest computed polymorph: 0.131 eV/atom



> The highest ΔE to the lowest computed polymorph belongs to which entry?

LuCuAgB



> Which formula does entry 1 have?

CuAgHgB



> Number 1 is which compound?

CuAgHgB



> Which of these has the highest ΔE to the lowest computed polymorph?

LuCuAgB